1.
Here is NpMnZnTc after structural relaxation from Alexandria. Energies are from PBE-GGA.

Results
**Density**: 12192 kg/m3
**Total magnetic moment**: 0.963 μB per atom
**Formation energy**: 241 meV/atom

a = 6.283 Å, b = 6.283 Å, c = 6.283 Å
α = 90.00°, β = 90.00°, γ = 90.00°
Space group F-43m (No. 216)
Inequivalent atoms, fractional coordinates:
Np: 0.000 0.000 0.000 [4 per cell]
Mn: 0.250 0.250 0.250 [4 per cell]
Zn: 0.000 0.000 0.500 [4 per cell]
Tc: 0.250 0.250 0.750 [4 per cell]


2.
Here is MgTc2Pb after structural relaxation from Alexandria. Energies are from PBE-GGA.

Results
**Density**: 10013 kg/m3
**Total magnetic moment**: 0.001 μB per atom
**Formation energy**: 602 meV/atom
**Distance to the lowest polymorph of the same formula**: 46.3 kJ/mol of atoms

a = 5.703 Å, b = 9.255 Å, c = 2.941 Å
α = 90.00°, β = 114.03°, γ = 90.00°
Space group C2/m (No. 12)
Inequivalent atoms, fractional coordinates:
Mg: 0.000 0.000 0.000 [2 per cell]
Tc: 0.250 0.250 0.500 [4 per cell]
Pb: 0.000 0.500 0.000 [2 per cell]


3.
Here is Rb3Ga2Sn4 after structural relaxation from Alexandria. Energies are from PBE-GGA.

Results
**Density**: 4497 kg/m3
**Total magnetic moment**: 0.000 μB per atom
**Formation energy**: -161 meV/atom

a = 17.377 Å, b = 11.306 Å, c = 7.128 Å
α = 90.00°, β = 113.31°, γ = 90.00°
Space group C2/c (No. 15)
Inequivalent atoms, fractional coordinates:
Rb: 0.000 0.040 0.250 [4 per cell]
Rb: 0.103 0.385 0.100 [8 per cell]
Ga: 0.215 0.133 0.425 [8 per cell]
Sn: 0.140 0.271 0.645 [8 per cell]
Sn: 0.207 0.107 0.029 [8 per cell]


4.
Here is Nd3DyOs after structural relaxation from Alexandria. Energies are from PBE-GGA.

Results
**Density**: 7434 kg/m3
**Total magnetic moment**: 0.000 μB per atom
**Formation energy**: 161 meV/atom

a = 5.598 Å, b = 5.598 Å, c = 5.598 Å
α = 90.00°, β = 90.00°, γ = 90.00°
Space group Pm-3m (No. 221)
Inequivalent atoms, fractional coordinates:
Nd: 0.000 0.000 0.500 [3 per cell]
Dy: 0.500 0.500 0.500 [1 per cell]
Os: 0.000 0.000 0.000 [1 per cell]


5.
Here is K12NaCd5 after structural relaxation from Alexandria. Energies are from PBE-GGA.

Results
**Density**: 1899 kg/m3
**Total magnetic moment**: 0.000 μB per atom
**Formation energy**: -21 meV/atom

a = 11.671 Å, b = 11.912 Å, c = 13.258 Å
α = 90.00°, β = 90.00°, γ = 90.00°
Space group Immm (No. 71)
Inequivalent atoms, fractional coordinates:
K: 0.000 0.201 0.179 [8 per cell]
K: 0.185 0.227 0.500 [8 per cell]
K: 0.199 0.500 0.265 [8 per cell]
Na: 0.000 0.500 0.000 [2 per cell]
Cd: 0.000 0.000 0.389 [4 per cell]
Cd: 0.000 0.500 0.500 [2 per cell]
Cd: 0.129 0.000 0.000 [4 per cell]


6.
Here is Li3BeIr after structural relaxation from Alexandria. Energies are from PBE-GGA.

Results
**Density**: 3748 kg/m3
**Total magnetic moment**: 0.000 μB per atom
**Formation energy**: 853 meV/atom
**Distance to the lowest polymorph of the same formula**: 0.8 kJ/mol of atoms

a = 4.616 Å, b = 4.616 Å, c = 4.616 Å
α = 90.00°, β = 90.00°, γ = 90.00°
Space group Pm-3m (No. 221)
Inequivalent atoms, fractional coordinates:
Li: 0.000 0.000 0.500 [3 per cell]
Be: 0.500 0.500 0.500 [1 per cell]
Ir: 0.000 0.000 0.000 [1 per cell]


7.
Here is PmEuInRh after structural relaxation from Alexandria. Energies are from PBE-GGA.

Results
**Density**: 8428 kg/m3
**Total magnetic moment**: 1.731 μB per atom
**Formation energy**: -393 meV/atom

a = 7.402 Å, b = 7.402 Å, c = 7.402 Å
α = 90.00°, β = 90.00°, γ = 90.00°
Space group F-43m (No. 216)
Inequivalent atoms, fractional coordinates:
Pm: 0.000 0.000 0.000 [4 per cell]
Eu: 0.000 0.000 0.500 [4 per cell]
In: 0.250 0.250 0.750 [4 per cell]
Rh: 0.250 0.250 0.250 [4 per cell]


8.
Here is NbV2Cu2 after structural relaxation from Alexandria. Energies are from PBE-GGA.

Results
**Density**: 7594 kg/m3
**Total magnetic moment**: 0.000 μB per atom
**Formation energy**: 247 meV/atom
**Distance to the lowest polymorph of the same formula**: 3.1 kJ/mol of atoms

a = 7.349 Å, b = 7.349 Å, c = 2.606 Å
α = 90.00°, β = 90.00°, γ = 90.00°
Space group P4/mbm (No. 127)
Inequivalent atoms, fractional coordinates:
Nb: 0.000 0.000 0.000 [2 per cell]
V: 0.115 0.385 0.000 [4 per cell]
Cu: 0.180 0.680 0.500 [4 per cell]


> Which value of total magnetic moment does entry 5 give?

0.000 μB per atom


> The highest total magnetic moment belongs to which entry?

PmEuInRh